The following is a PBE-GGA calculation of crystalline CePm2Pb2 at its relaxed geometry, from Alexandria via LeMat-Bulk.

abc: 5.2549 5.2549 12.8964
angles: 90.00 90.00 120.00
Fractional positions:
1 Ce 0.0000 0.0000 0.2500
2 Ce 0.0000 0.0000 0.7500
3 Pm 0.0000 0.0000 0.0000
4 Pm 0.0000 0.0000 0.5000
5 Pm 0.3333 0.6667 0.2500
6 Pm 0.6667 0.3333 0.7500
7 Pb 0.3333 0.6667 0.6209
8 Pb 0.3333 0.6667 0.8791
9 Pb 0.6667 0.3333 0.1209
10 Pb 0.6667 0.3333 0.3791

Output
**DOS at the Fermi energy**: 7.9 states/eV/f.u.
**Formation energy**: -166 meV per atom
**V**: 30.84 Å³/atom
**Symmetry**: P6_3/mmc, No. 194
**VASP energy**: -4.736 eV per atom
**Distance to the lowest polymorph of the same formula**: 1.201 eV per formula unit